No. 1
Ba2Sb2Se5 (GGA-PBE, optimized geometry); raw formation energy = -1016 meV per atom; final energy = -0.15784 Ha/atom; space-group type = No. 46; V = 632.02 Å³ per cell; density = 4.8 g cm⁻³
1.0
-9.667 4.038 4.048
9.667 -4.038 4.048
9.667 4.038 -4.048
Ba Sb Se
4 4 10
Direct
0.014 0.108 0.122
0.014 0.392 0.406
0.986 0.608 0.594
0.986 0.892 0.878
0.414 0.690 0.224
0.467 0.190 0.776
0.506 0.006 0.500
0.506 0.506 0.000
0.048 0.298 0.785
0.048 0.762 0.250
0.267 0.831 0.936
0.502 0.247 0.543
0.502 0.459 0.755
0.512 0.262 0.215
0.512 0.798 0.750
0.704 0.747 0.245
0.704 0.959 0.457
0.895 0.331 0.064

No. 2
LiScZnSn (GGA-PBE, optimized geometry); final energy = -0.13891 Ha/atom; space-group type = No. 216; formation energy from the elements = -399 meV/atom; V = 77.35 Å³ per cell; density = 5.1 g cm⁻³
1.0
0.000 3.382 3.382
3.382 0.000 3.382
3.382 3.382 0.000
Li Sc Zn Sn
1 1 1 1
Direct
0.000 0.000 0.000
0.500 0.500 0.500
0.750 0.750 0.750
0.250 0.250 0.250

No. 3
GaNi8Sb2 (GGA-PBE, optimized geometry); raw formation energy = -138 meV per atom; final energy = -0.19726 Ha/atom; space-group type = No. 12; V = 143.66 Å³ per cell; density = 9.0 g cm⁻³
1.0
6.893 -1.890 0.000
6.893 1.890 0.000
-2.021 0.000 5.513
Ga Ni Sb
1 8 2
Direct
0.000 0.000 0.000
0.080 0.080 0.447
0.167 0.167 0.920
0.356 0.356 0.800
0.468 0.468 0.260
0.532 0.532 0.740
0.644 0.644 0.200
0.833 0.833 0.080
0.920 0.920 0.553
0.298 0.298 0.334
0.702 0.702 0.666

No. 4
Pr6Ni2Rh (GGA-PBE, optimized geometry); final energy = -0.20406 Ha/atom; space-group type = No. 71; formation energy from the elements = -265 meV/atom; V = 485.25 Å³ per cell; density = 7.3 g cm⁻³
1.0
-4.889 4.953 5.009
4.889 -4.953 5.009
4.889 4.953 -5.009
Pr Ni Rh
12 4 2
Direct
0.062 0.821 0.241
0.168 0.317 0.485
0.168 0.683 0.852
0.329 0.094 0.765
0.329 0.564 0.235
0.420 0.179 0.241
0.580 0.821 0.759
0.671 0.436 0.765
0.671 0.906 0.235
0.832 0.317 0.148
0.832 0.683 0.515
0.938 0.179 0.759
0.182 0.682 0.500
0.383 0.500 0.883
0.617 0.500 0.117
0.818 0.318 0.500
0.000 0.000 0.000
0.500 0.000 0.500

No. 5
TcHgGe2C (GGA-PBE, optimized geometry); final energy = -0.16276 Ha/atom; space-group type = No. 123; formation energy from the elements = 1396 meV/atom; V = 83.17 Å³ per cell; density = 9.1 g cm⁻³
1.0
4.224 0.000 0.000
0.000 4.224 0.000
0.000 0.000 4.661
Tc Hg Ge C
1 1 2 1
Direct
0.000 0.000 0.000
0.500 0.500 0.000
0.000 0.500 0.500
0.500 0.000 0.500
0.500 0.500 0.500

No. 6
Tb2CeScSe6 (GGA-PBE, optimized geometry); raw formation energy = -1763 meV per atom; final energy = -0.22072 Ha/atom; space-group type = No. 146; V = 289.92 Å³ per cell; density = 5.6 g cm⁻³
1.0
3.600 2.079 6.456
-3.600 2.079 6.456
0.000 -4.157 6.456
Tb Ce Sc Se
2 1 1 6
Direct
0.000 0.000 0.000
0.494 0.494 0.494
0.197 0.197 0.197
0.690 0.690 0.690
0.076 0.420 0.790
0.301 0.886 0.608
0.420 0.790 0.076
0.608 0.301 0.886
0.790 0.076 0.420
0.886 0.608 0.301